Record 1
Below is Li2VH2OF5 after structural relaxation, with properties calculated at the GGA+U level.

abc: 5.3521 5.8639 7.8625
angles: 86.67 86.50 70.93
Last column: nearest neighbours and their distance in Å.
Space group P-1 (No. 2)
Asymmetric unit:
Li (0.1752, 0.2762, 0.0401) [2 per cell]  4 F 1.87-2.01
Li (0.2503, 0.1971, 0.4306) [2 per cell]  4 F 1.94-2.17
V (0.2979, 0.7362, 0.2507) [2 per cell]  5 F 1.93-2.02, 1 O 2.13
H (0.3151, 0.6694, 0.6380) [2 per cell]  1 O 1.00
H (0.4070, 0.7107, 0.8223) [2 per cell]  1 O 0.99
O (0.4699, 0.6340, 0.7115) [2 per cell]  2 H 0.99-1.00
F (0.0627, 0.6078, 0.1336) [2 per cell]  2 Li 1.87-2.01, 1 V 1.96
F (0.0972, 0.0920, 0.2247) [2 per cell]  2 Li 1.87-2.07, 1 V 2.02
F (0.1157, 0.6989, 0.4695) [2 per cell]  1 H 1.72
F (0.4640, 0.1519, 0.6282) [2 per cell]  1 V 1.93, 1 Li 1.94
F (0.4701, 0.7654, 0.0270) [2 per cell]  1 H 1.73, 1 Li 1.88

energy above the most stable polymorph in this dataset = 0.00 eV per formula unit
uncorrected energy = -117.50 eV per cell

---

Record 2
Below is LiV2H4O2F10 after structural relaxation, with properties calculated at the GGA+U level.

abc: 5.4501 5.5936 8.0124
angles: 87.29 88.29 74.18
Last column: nearest neighbours and their distance in Å.
Space group P1 (No. 1)
Asymmetric unit:
Li (0.0000, 0.0000, 0.0000) [1 per cell]  5 F 1.94-2.11
V (0.4656, 0.8686, 0.7893) [1 per cell]  5 F 1.82-1.95
V (0.9673, 0.4655, 0.2916) [1 per cell]  5 F 1.76-1.84
H (0.5175, 0.7395, 0.1982) [1 per cell]  1 O 1.01
H (0.5505, 0.7814, 0.4018) [1 per cell]  1 O 1.01
H (0.7858, 0.4133, 0.7218) [1 per cell]  1 O 0.98
H (0.9609, 0.5827, 0.7661) [1 per cell]  1 O 0.98
O (0.5998, 0.6644, 0.3067) [1 per cell]  2 H 1.01
O (0.7888, 0.5602, 0.7824) [1 per cell]  2 H 0.98
F (0.0433, 0.6844, 0.4205) [1 per cell]  1 V 1.78
F (0.1724, 0.1290, 0.8035) [1 per cell]  1 V 1.85, 1 Li 2.01
F (0.2872, 0.2908, 0.2640) [1 per cell]  1 V 1.76
F (0.2939, 0.6393, 0.7547) [1 per cell]  1 V 1.82, 1 H 1.92
F (0.3938, 0.8302, 0.0273) [1 per cell]  1 H 1.55
F (0.5016, 0.9353, 0.5605) [1 per cell]  1 H 1.54
F (0.7030, 0.0266, 0.8465) [1 per cell]  1 V 1.83, 1 Li 2.03
F (0.8600, 0.2608, 0.1547) [1 per cell]  1 V 1.84, 1 Li 1.94
F (0.8995, 0.2927, 0.4713) [1 per cell]  1 V 1.78
F (0.9779, 0.6720, 0.1081) [1 per cell]  1 V 1.84, 1 Li 2.02

uncorrected energy = -99.62 eV per cell

---

- Which of these has the highest uncorrected energy?
  LiV2H4O2F10

---

Copy entry 2 word for word.
Below is LiV2H4O2F10 after structural relaxation, with properties calculated at the GGA+U level.

abc: 5.4501 5.5936 8.0124
angles: 87.29 88.29 74.18
Last column: nearest neighbours and their distance in Å.
Space group P1 (No. 1)
Asymmetric unit:
Li (0.0000, 0.0000, 0.0000) [1 per cell]  5 F 1.94-2.11
V (0.4656, 0.8686, 0.7893) [1 per cell]  5 F 1.82-1.95
V (0.9673, 0.4655, 0.2916) [1 per cell]  5 F 1.76-1.84
H (0.5175, 0.7395, 0.1982) [1 per cell]  1 O 1.01
H (0.5505, 0.7814, 0.4018) [1 per cell]  1 O 1.01
H (0.7858, 0.4133, 0.7218) [1 per cell]  1 O 0.98
H (0.9609, 0.5827, 0.7661) [1 per cell]  1 O 0.98
O (0.5998, 0.6644, 0.3067) [1 per cell]  2 H 1.01
O (0.7888, 0.5602, 0.7824) [1 per cell]  2 H 0.98
F (0.0433, 0.6844, 0.4205) [1 per cell]  1 V 1.78
F (0.1724, 0.1290, 0.8035) [1 per cell]  1 V 1.85, 1 Li 2.01
F (0.2872, 0.2908, 0.2640) [1 per cell]  1 V 1.76
F (0.2939, 0.6393, 0.7547) [1 per cell]  1 V 1.82, 1 H 1.92
F (0.3938, 0.8302, 0.0273) [1 per cell]  1 H 1.55
F (0.5016, 0.9353, 0.5605) [1 per cell]  1 H 1.54
F (0.7030, 0.0266, 0.8465) [1 per cell]  1 V 1.83, 1 Li 2.03
F (0.8600, 0.2608, 0.1547) [1 per cell]  1 V 1.84, 1 Li 1.94
F (0.8995, 0.2927, 0.4713) [1 per cell]  1 V 1.78
F (0.9779, 0.6720, 0.1081) [1 per cell]  1 V 1.84, 1 Li 2.02

uncorrected energy = -99.62 eV per cell